No. 1
DFT (PBE) results for Be2Ru after structural relaxation.

Summary:
* relative energy among the computed polymorphs: 6 meV per atom
* final energy: -5.92 eV per atom
* energy of formation from the pure elements: -343 meV per atom

The structure in CIF format:
```
data_Be2Ru
_chemical_formula_sum 'Be8 Ru4'
_cell_length_a 4.3478
_cell_length_b 4.3478
_cell_length_c 7.0542
_cell_angle_alpha 90.00
_cell_angle_beta 90.00
_cell_angle_gamma 120.00
_space_group_name_H-M_alt 'P 63/m m c'
_space_group_IT_number 194
_space_group_name_Hall '-P 6c 2c'
loop_
_atom_site_label
_atom_site_type_symbol
_atom_site_fract_x
_atom_site_fract_y
_atom_site_fract_z
Be1 Be 0.0000 0.0000 0.0000
Be2 Be 0.1689 0.3378 0.2500
Ru1 Ru 0.3333 0.6667 0.5625
```



No. 2
DFT (PBE) results for Tb7ErIn4 after structural relaxation.

Summary:
* final energy: -4.09 eV per atom
* energy of formation from the pure elements: -99 meV per atom

The structure in CIF format:
```
data_Tb7ErIn4
_chemical_formula_sum 'Tb14 Er2 In8'
_cell_length_a 14.559
_cell_length_b 5.685
_cell_length_c 10.397
_cell_angle_alpha 90.00
_cell_angle_beta 123.58
_cell_angle_gamma 90.00
_space_group_name_H-M_alt 'C 1 2/m 1'
_space_group_IT_number 12
_space_group_name_Hall '-C 2y'
loop_
_atom_site_label
_atom_site_type_symbol
_atom_site_fract_x
_atom_site_fract_y
_atom_site_fract_z
Tb1 Tb 0.000 0.000 0.000
Tb2 Tb 0.064 0.500 0.397
Tb3 Tb 0.209 0.500 0.879
Tb4 Tb 0.224 0.000 0.667
Er1 Er 0.000 0.500 0.000
In1 In 0.058 0.000 0.751
In2 In 0.181 0.000 0.335
```



No. 3
DFT (PBE) results for TbThTc after structural relaxation.

Summary:
* relative energy among the computed polymorphs: 115 meV per atom
* final energy: -7.46 eV per atom
* energy of formation from the pure elements: 12 meV per atom

The structure in CIF format:
```
data_TbThTc
_chemical_formula_sum 'Tb4 Th4 Tc4'
_cell_length_a 6.905
_cell_length_b 6.905
_cell_length_c 6.905
_cell_angle_alpha 90.00
_cell_angle_beta 90.00
_cell_angle_gamma 90.00
_space_group_name_H-M_alt 'F -4 3 m'
_space_group_IT_number 216
_space_group_name_Hall 'F -4 2 3'
loop_
_atom_site_label
_atom_site_type_symbol
_atom_site_fract_x
_atom_site_fract_y
_atom_site_fract_z
Tb1 Tb 0.000 0.000 0.000
Th1 Th 0.000 0.000 0.500
Tc1 Tc 0.250 0.250 0.250
```



No. 4
DFT (PBE) results for ZnAs2AuO after structural relaxation.

Summary:
* E_form (uncorrected): 0.34 eV/atom
* final energy: -3.42 eV per atom

The structure in CIF format:
```
data_ZnAs2AuO
_chemical_formula_sum 'Zn1 As2 Au1 O1'
_cell_length_a 5.099
_cell_length_b 5.099
_cell_length_c 3.528
_cell_angle_alpha 90.00
_cell_angle_beta 90.00
_cell_angle_gamma 90.00
_space_group_name_H-M_alt 'P 4/m m m'
_space_group_IT_number 123
_space_group_name_Hall '-P 4 2'
loop_
_atom_site_label
_atom_site_type_symbol
_atom_site_fract_x
_atom_site_fract_y
_atom_site_fract_z
Zn1 Zn 0.000 0.000 0.000
As1 As 0.000 0.500 0.000
Au1 Au 0.500 0.500 0.500
O1 O 0.000 0.000 0.500
```



No. 5
DFT (PBE) results for BaAl3B4O12 after structural relaxation.

Summary:
* E_form (uncorrected): -2.60 eV/atom
* final energy: -7.56 eV per atom

The structure in CIF format:
```
data_BaAl3B4O12
_chemical_formula_sum 'Ba3 Al9 B12 O36'
_cell_length_a 9.4686
_cell_length_b 9.4686
_cell_length_c 7.7285
_cell_angle_alpha 90.00
_cell_angle_beta 90.00
_cell_angle_gamma 120.00
_space_group_name_H-M_alt 'R 3 2'
_space_group_IT_number 155
_space_group_name_Hall 'R 3 2"'
loop_
_atom_site_label
_atom_site_type_symbol
_atom_site_fract_x
_atom_site_fract_y
_atom_site_fract_z
Ba1 Ba 0.0000 0.0000 0.0000
Al1 Al 0.0000 0.5582 0.0000
B1 B 0.0000 0.0000 0.5000
B2 B 0.0000 0.4388 0.5000
O1 O 0.0000 0.5887 0.5000
O2 O 0.0000 0.8521 0.5000
O3 O 0.0347 0.2282 0.2065
```



No. 6
DFT (PBE) results for Sm4Tm4Al after structural relaxation.

Summary:
* final energy: -4.53 eV per atom
* energy of formation from the pure elements: -25 meV per atom

The structure in CIF format:
```
data_Sm4Tm4Al
_chemical_formula_sum 'Sm8 Tm8 Al2'
_cell_length_a 10.563
_cell_length_b 10.563
_cell_length_c 4.828
_cell_angle_alpha 90.00
_cell_angle_beta 90.00
_cell_angle_gamma 90.00
_space_group_name_H-M_alt 'I 4/m m m'
_space_group_IT_number 139
_space_group_name_Hall '-I 4 2'
loop_
_atom_site_label
_atom_site_type_symbol
_atom_site_fract_x
_atom_site_fract_y
_atom_site_fract_z
Sm1 Sm 0.159 0.159 0.000
Tm1 Tm 0.000 0.334 0.500
Al1 Al 0.000 0.000 0.500
```



No. 7
DFT (PBE) results for MgCr2W after structural relaxation.

Summary:
* relative energy among the computed polymorphs: 93 meV per atom
* final energy: -8.03 eV per atom
* energy of formation from the pure elements: 420 meV per atom

The structure in CIF format:
```
data_MgCr2W
_chemical_formula_sum 'Mg1 Cr2 W1'
_cell_length_a 2.614
_cell_length_b 4.285
_cell_length_c 5.180
_cell_angle_alpha 90.00
_cell_angle_beta 100.73
_cell_angle_gamma 90.00
_space_group_name_H-M_alt 'P 1 m 1'
_space_group_IT_number 6
_space_group_name_Hall 'P -2y'
loop_
_atom_site_label
_atom_site_type_symbol
_atom_site_fract_x
_atom_site_fract_y
_atom_site_fract_z
Mg1 Mg 0.000 0.000 0.000
Cr1 Cr 0.226 0.500 0.744
Cr2 Cr 0.446 0.000 0.518
W1 W 0.708 0.500 0.277
```



No. 8
DFT (PBE) results for Sm9ScTl2 after structural relaxation.

Summary:
* final energy: -4.58 eV per atom
* energy of formation from the pure elements: -116 meV per atom

The structure in CIF format:
```
data_Sm9ScTl2
_chemical_formula_sum 'Sm9 Sc1 Tl2'
_cell_length_a 4.936
_cell_length_b 4.936
_cell_length_c 15.080
_cell_angle_alpha 90.00
_cell_angle_beta 90.00
_cell_angle_gamma 90.00
_space_group_name_H-M_alt 'P 4/m m m'
_space_group_IT_number 123
_space_group_name_Hall '-P 4 2'
loop_
_atom_site_label
_atom_site_type_symbol
_atom_site_fract_x
_atom_site_fract_y
_atom_site_fract_z
Sm1 Sm 0.000 0.000 0.000
Sm2 Sm 0.000 0.000 0.333
Sm3 Sm 0.000 0.500 0.168
Sm4 Sm 0.000 0.500 0.500
Sc1 Sc 0.500 0.500 0.000
Tl1 Tl 0.500 0.500 0.338
```



no.,size of the total moment (μB per cell),DOS(E_F) (states/eV/f.u.)
1,0.00,1.80
2,0.00,13.68
3,0.00,2.55
4,0.00,2.87
5,2.40,7.19
6,0.00,12.28
7,0.00,2.73
8,0.00,16.15